[1]
The following is a DFT calculation (PBE-GGA) of a relaxed structure of LaMg2CuH.

```
LaMg2CuH
1.0
4.456 0.000 0.000
0.000 4.456 0.000
0.000 0.000 4.858
La Mg Cu H
1 2 1 1
Cartesian
0.000 0.000 0.000
0.000 2.228 2.429
2.228 0.000 2.429
2.228 2.228 0.000
0.000 0.000 2.429
```

space-group type: No. 123
total moment: 0.000 μB/atom
raw total energy: -16.0 eV/cell

[2]
The following is a DFT calculation (PBE-GGA) of a relaxed structure of TbCeLuGa.

```
TbCeLuGa
1.0
0.000 3.737 3.737
3.737 0.000 3.737
3.737 3.737 0.000
Tb Ce Lu Ga
1 1 1 1
Cartesian
0.000 0.000 0.000
3.737 3.737 3.737
5.605 5.605 5.605
1.868 1.868 1.868
```

space-group type: No. 216
DFT formation energy: -0.0943 eV per atom
total moment: 0.162 μB/atom

[3]
The following is a DFT calculation (PBE-GGA) of a relaxed structure of Ge2RuSe.

```
Ge2RuSe
1.0
-2.904 2.904 5.653
2.904 -2.904 5.653
2.904 2.904 -5.653
Ge Ru Se
4 2 2
Cartesian
4.357 1.220 -1.413
1.220 1.452 1.413
-1.452 1.685 4.240
1.685 1.452 7.067
0.000 0.000 0.000
0.000 2.904 2.827
2.904 0.000 2.827
0.000 0.000 5.653
```

space-group type: No. 122
formation energy (no corrections): 0.190 eV per atom
total moment: 0.000 μB/atom

[4]
The following is a DFT calculation (PBE-GGA) of a relaxed structure of Ba3Y2B6O15.

```
Ba3Y2B6O15
1.0
-7.222 7.222 7.222
7.222 -7.222 7.222
7.222 7.222 -7.222
Ba Y B O
12 8 24 60
Cartesian
7.222 -3.611 5.347
10.833 1.875 0.000
5.347 7.222 -3.611
5.347 0.000 3.611
3.611 5.347 0.000
7.222 3.611 1.875
0.000 3.611 5.347
3.611 1.875 7.222
1.875 7.222 3.611
1.875 0.000 10.833
-3.611 5.347 7.222
0.000 10.833 1.875
0.000 0.000 0.000
3.611 3.611 -3.611
3.611 -3.611 3.611
7.222 0.000 0.000
-3.611 3.611 3.611
0.000 7.222 0.000
0.000 0.000 7.222
3.611 3.611 3.611
2.777 1.617 -0.924
8.146 2.777 -1.617
1.617 -0.924 2.777
4.444 1.617 0.924
6.298 4.444 -1.617
8.838 -0.924 4.444
8.838 0.924 2.777
-0.924 2.777 1.617
4.444 -1.617 6.298
1.617 0.924 4.444
0.924 4.444 1.617
2.777 -1.617 8.146
4.444 8.838 -0.924
6.298 2.777 5.605
5.605 6.298 2.777
2.777 8.838 0.924
8.146 4.444 5.605
-1.617 6.298 4.444
-1.617 8.146 2.777
0.924 2.777 8.838
2.777 5.605 6.298
5.605 8.146 4.444
-0.924 4.444 8.838
4.444 5.605 8.146
2.560 2.239 -2.123
12.269 -0.425 0.599
9.345 2.560 -2.239
2.239 -2.123 2.560
5.047 0.425 0.599
7.222 3.611 -2.285
7.647 6.623 -5.047
7.820 2.175 -0.425
3.611 2.285 0.000
5.099 4.662 -2.239
9.461 -2.123 4.662
6.623 -5.047 7.647
7.647 0.599 2.175
4.662 -2.239 5.099
2.285 0.000 3.611
9.507 0.000 3.611
4.662 2.239 2.123
7.647 -0.599 5.047
6.623 5.047 -0.425
9.461 2.123 2.560
-2.123 2.560 2.239
3.611 -2.285 7.222
0.599 5.047 0.425
0.425 0.599 5.047
0.000 3.611 2.285
5.047 -0.425 6.623
2.239 2.123 4.662
2.123 4.662 2.239
5.047 7.647 -0.599
2.560 -2.239 9.345
4.662 9.461 -2.123
2.175 -0.425 7.820
5.099 2.560 4.982
4.982 5.099 2.560
2.175 7.647 0.599
7.222 3.611 4.936
6.797 6.623 2.175
6.623 2.175 6.797
3.611 9.507 0.000
9.345 4.662 4.982
-2.239 5.099 4.662
0.599 2.175 7.647
-0.425 7.820 2.175
2.560 4.982 5.099
-2.285 7.222 3.611
4.936 7.222 3.611
2.560 9.461 2.123
-0.425 6.623 5.047
0.599 12.269 -0.425
-2.239 9.345 2.560
2.123 2.560 9.461
3.611 4.936 7.222
-0.599 5.047 7.647
-0.425 0.599 12.269
0.000 3.611 9.507
2.175 6.797 6.623
4.982 9.345 4.662
-2.123 4.662 9.461
-5.047 7.647 6.623
4.662 4.982 9.345
```

space-group type: No. 206
formation energy (no corrections): -2.890 eV per atom
total moment: 0.000 μB/atom

[5]
The following is a DFT calculation (PBE-GGA) of a relaxed structure of Cu2MoAu.

```
Cu2MoAu
1.0
-1.356 2.310 4.640
1.356 -2.310 4.640
1.356 2.310 -4.640
Cu Mo Au
2 1 1
Cartesian
0.000 0.000 0.000
0.000 2.310 2.572
1.356 0.000 2.341
0.000 0.000 4.878
```

space-group type: No. 44
DFT formation energy: 0.3191 eV per atom
energy above the lowest structure with this stoichiometry: 181.9 meV per atom
total moment: 0.000 μB/atom

[6]
The following is a DFT calculation (PBE-GGA) of a relaxed structure of CuTcRh2.

```
CuTcRh2
1.0
2.704 0.000 0.000
0.000 2.704 0.000
0.000 0.000 7.551
Cu Tc Rh
1 1 2
Cartesian
0.000 0.000 0.000
1.352 1.352 5.672
0.000 0.000 3.791
1.352 1.352 1.813
```

space-group type: No. 99
DFT formation energy: 0.0734 eV per atom
energy above the lowest structure with this stoichiometry: 139.7 meV per atom
total moment: 0.000 μB/atom

[7]
The following is a DFT calculation (PBE-GGA) of a relaxed structure of Tb3CeRu4.

```
Tb3CeRu4
1.0
-3.421 3.421 3.421
3.421 -3.421 3.421
3.421 3.421 -3.421
Tb Ce Ru
3 1 4
Cartesian
3.421 0.000 0.000
0.000 3.421 0.000
0.000 0.000 3.421
0.000 0.000 0.000
1.711 1.711 -1.711
1.711 -1.711 1.711
-1.711 1.711 1.711
1.711 1.711 1.711
```

space-group type: No. 229
DFT formation energy: -0.3414 eV per atom
total moment: 0.000 μB/atom

[8]
The following is a DFT calculation (PBE-GGA) of a relaxed structure of Cd5BiPb6.

```
Cd5BiPb6
1.0
2.486 -7.482 0.000
2.486 7.482 0.000
0.000 0.000 9.174
Cd Bi Pb
5 1 6
Cartesian
0.000 0.000 0.000
2.486 2.526 4.587
2.486 2.504 0.000
2.486 -2.504 0.000
2.486 -2.526 4.587
0.000 0.000 4.587
2.486 4.957 2.262
2.486 4.957 6.911
2.486 0.000 2.212
2.486 0.000 6.962
2.486 -4.957 2.262
2.486 -4.957 6.911
```

space-group type: No. 65
DFT formation energy: 0.0503 eV per atom
total moment: 0.000 μB/atom